HfVRu2W: relaxed, PBE.

The structure in POSCAR format:
```
HfVRu2W
1.0
4.364 0.000 0.000
0.000 4.364 0.000
0.000 0.000 4.705
Hf V Ru W
1 1 2 1
Cartesian
0.000 0.000 0.000
0.000 0.000 2.353
0.000 2.182 2.353
2.182 0.000 2.353
2.182 2.182 0.000
```

Summary:
The volume is 89.62 Å³/cell.

---

Hf2V2ZnRu5: relaxed, PBE.

The structure in POSCAR format:
```
Hf2V2ZnRu5
1.0
9.870 0.000 0.000
0.000 9.870 0.000
0.000 0.000 3.232
Hf V Zn Ru
4 4 2 10
Cartesian
1.701 3.234 0.000
3.234 8.169 0.000
6.636 1.701 0.000
8.169 6.636 0.000
1.278 6.213 0.000
3.657 1.278 0.000
6.213 8.592 0.000
8.592 3.657 0.000
0.000 0.000 0.000
4.935 4.935 0.000
0.000 4.935 1.616
0.645 7.875 1.616
1.994 0.645 1.616
2.940 5.580 1.616
4.290 2.940 1.616
4.935 0.000 1.616
5.580 6.929 1.616
6.929 4.290 1.616
7.875 9.225 1.616
9.225 1.994 1.616
```

Summary:
The volume is 314.82 Å³/cell.

---

Hf2ZrVRu: relaxed, PBE.

The structure in POSCAR format:
```
Hf2ZrVRu
1.0
4.753 0.000 0.000
0.000 4.753 0.000
0.000 0.000 4.734
Hf Zr V Ru
2 1 1 1
Cartesian
0.000 2.376 0.000
2.376 0.000 0.000
0.000 0.000 2.367
0.000 0.000 0.000
2.376 2.376 2.367
```

Summary:
The volume is 106.93 Å³/cell.

---

HfRu2W: relaxed, PBE.

The structure in POSCAR format:
```
HfRu2W
1.0
3.069 0.000 0.000
0.000 3.069 0.000
0.000 0.000 6.815
Hf Ru W
1 2 1
Cartesian
0.000 0.000 0.000
1.535 1.535 1.718
1.535 1.535 5.097
0.000 0.000 3.407
```

Summary:
The volume is 64.20 Å³/cell.

---

HfRu2W: relaxed, PBE.

The structure in POSCAR format:
```
HfRu2W
1.0
-3.539 3.539 2.834
3.539 -3.539 2.834
3.539 3.539 -2.834
Hf Ru W
2 4 2
Cartesian
0.000 0.000 0.000
0.000 3.539 1.417
1.769 -1.550 2.126
1.989 1.769 0.709
1.769 5.088 -0.709
1.550 1.769 3.543
3.539 0.000 1.417
0.000 0.000 2.834
```

Summary:
The volume is 141.94 Å³/cell.

---

HfRuW: relaxed, PBE.

The structure in POSCAR format:
```
HfRuW
1.0
4.936 -2.130 0.000
4.936 2.130 0.000
-4.042 0.000 5.124
Hf Ru W
2 2 2
Cartesian
-0.640 0.000 1.579
6.471 0.000 3.544
2.064 0.000 1.559
3.767 0.000 3.565
-0.389 0.000 4.750
6.220 0.000 0.374
```

Summary:
The volume is 107.74 Å³/cell.

---

HfRuW2: relaxed, PBE.

The structure in POSCAR format:
```
HfRuW2
1.0
0.000 3.204 3.204
3.204 0.000 3.204
3.204 3.204 0.000
Hf Ru W
1 1 2
Cartesian
0.000 0.000 0.000
3.204 3.204 3.204
1.602 1.602 1.602
4.807 4.807 4.807
```

Summary:
The calculation puts the energy above the most stable polymorph in this dataset at 0 meV/atom. The volume is 65.80 Å³/cell.

---

HfRuW2: relaxed, PBE.

The structure in POSCAR format:
```
HfRuW2
1.0
-3.739 3.739 2.619
3.739 -3.739 2.619
3.739 3.739 -2.619
Hf Ru W
2 2 4
Cartesian
0.000 0.000 0.000
0.000 3.739 1.310
3.739 0.000 1.310
0.000 0.000 2.619
1.869 -1.610 1.964
2.129 1.869 0.655
1.869 5.349 -0.655
1.610 1.869 3.274
```

Summary:
The calculation puts the energy above the most stable polymorph in this dataset at 427 meV/atom. The volume is 146.45 Å³/cell.

---

YHf2Ru2: relaxed, PBE.

The structure in POSCAR format:
```
YHf2Ru2
1.0
-2.164 2.164 5.739
2.164 -2.164 5.739
2.164 2.164 -5.739
Y Hf Ru
1 2 2
Cartesian
0.000 0.000 0.000
2.164 0.000 2.869
0.000 2.164 2.869
0.000 0.000 4.457
0.000 0.000 7.021
```

Summary:
The calculation puts the energy above the most stable polymorph in this dataset at 2 meV/atom. The volume is 107.50 Å³/cell.

---

YHf2Ru2: relaxed, PBE.

The structure in POSCAR format:
```
YHf2Ru2
1.0
7.834 0.000 0.000
0.000 7.834 0.000
0.000 0.000 3.233
Y Hf Ru
2 4 4
Cartesian
0.000 0.000 0.000
3.917 3.917 0.000
1.136 2.781 1.616
2.781 6.698 1.616
5.053 1.136 1.616
6.698 5.053 1.616
1.143 5.060 0.000
2.774 1.143 0.000
5.060 6.691 0.000
6.691 2.774 0.000
```

Summary:
The calculation puts the energy above the most stable polymorph in this dataset at 0 meV/atom. The volume is 198.38 Å³/cell.

---

YHf3Ru: relaxed, PBE.

The structure in POSCAR format:
```
YHf3Ru
1.0
4.982 0.000 0.000
0.000 4.982 0.000
0.000 0.000 4.982
Y Hf Ru
1 3 1
Cartesian
0.000 0.000 0.000
0.000 0.000 2.491
0.000 2.491 0.000
2.491 0.000 0.000
2.491 2.491 2.491
```

Summary:
The calculation puts the energy above the most stable polymorph in this dataset at 1812 meV/atom. The volume is 123.62 Å³/cell.

---

YHfRu2: relaxed, PBE.

The structure in POSCAR format:
```
YHfRu2
1.0
-1.476 2.562 5.206
1.476 -2.562 5.206
1.476 2.562 -5.206
Y Hf Ru
1 1 2
Cartesian
0.000 0.000 0.000
0.000 0.000 5.206
0.000 0.000 2.760
0.000 0.000 7.653
```

Summary:
The volume is 78.73 Å³/cell.

---

no.,energy (eV/cell),size of the total moment (μB/f.u.)
1,-44.9,0.0
2,-175.9,0.0
3,-42.4,0.0
4,-42.4,0.0
5,-80.2,0.0
6,-65.1,0.0
7,-44.5,0.0
8,-85.5,0.0
9,-47.0,0.0
10,-93.9,0.0
11,-35.8,0.0
12,-32.4,0.0